1.
The following is a DFT calculation (GGA-PBE) of a relaxed structure of CaGa6Ag12.

a b c (Å): 7.546 7.546 7.546
angles (deg): 105.22 105.22 105.22
Fractional coordinates of all 19 atoms:
Ca 0.000 0.000 0.000
Ga 0.701 0.278 0.278
Ga 0.278 0.278 0.701
Ga 0.278 0.701 0.278
Ga 0.722 0.722 0.299
Ga 0.299 0.722 0.722
Ga 0.722 0.299 0.722
Ag 0.883 0.117 0.500
Ag 0.861 0.615 0.615
Ag 0.615 0.615 0.861
Ag 0.385 0.139 0.385
Ag 0.385 0.385 0.139
Ag 0.139 0.385 0.385
Ag 0.117 0.500 0.883
Ag 0.500 0.883 0.117
Ag 0.117 0.883 0.500
Ag 0.883 0.500 0.117
Ag 0.500 0.117 0.883
Ag 0.615 0.861 0.615

## Properties
Magnetic moment (μB/f.u.): 0.0
E_tot (eV per atom): -2.8528
SG: No. 166
V (A^3/atom): 19.7

---

2.
The following is a DFT calculation (GGA-PBE) of a relaxed structure of AlRu3F.

a b c (Å): 4.157 4.157 4.157
angles (deg): 90.00 90.00 90.00
Fractional coordinates of all 5 atoms:
Ru 0.000 0.500 0.000
Ru 0.000 0.000 0.500
Ru 0.500 0.000 0.000
Al 0.500 0.500 0.500
F 0.000 0.000 0.000

## Properties
Magnetic moment (μB/f.u.): 0.0
E above lowest polymorph (meV per atom): 0
SG: No. 221
Formation energy without anion corrections (meV/atom): 725
V (A^3/atom): 14.4

---

3.
The following is a DFT calculation (GGA-PBE) of a relaxed structure of Nd2GaI2.

a b c (Å): 4.219 4.219 12.308
angles (deg): 80.13 80.13 60.00
Fractional coordinates of all 5 atoms:
Nd 0.615 0.615 0.155
Nd 0.385 0.385 0.845
Ga 0.000 0.000 0.000
I 0.224 0.224 0.328
I 0.776 0.776 0.672

## Properties
Magnetic moment (μB/f.u.): 0.0
E above lowest polymorph (meV per atom): 0
SG: No. 166
Formation energy without anion corrections (meV/atom): -1029
V (A^3/atom): 37.2

---

4.
The following is a DFT calculation (GGA-PBE) of a relaxed structure of SiSeBr.

a b c (Å): 3.632 3.632 6.951
angles (deg): 90.00 90.00 120.00
Fractional coordinates of all 3 atoms:
Si 0.333 0.667 0.395
Se 0.000 0.000 0.203
Br 0.667 0.333 0.650

## Properties
Magnetic moment (μB/f.u.): 0.0
E above lowest polymorph (meV per atom): 292
SG: No. 156
Formation energy without anion corrections (meV/atom): -241
V (A^3/atom): 26.5

---

5.
The following is a DFT calculation (GGA-PBE) of a relaxed structure of HfInOs3.

a b c (Å): 4.815 4.815 4.815
angles (deg): 90.00 90.00 90.00
Each line ends with the local moment (μB).
Fractional coordinates of all 5 atoms:
Hf 0.000 0.000 0.000  -0.04
Os 0.000 0.500 0.000  0.36
Os 0.000 0.000 0.500  0.43
Os 0.500 0.000 0.000  0.35
In 0.500 0.500 0.500  0.00

## Properties
Magnetic moment (μB/f.u.): 1.2
E above lowest polymorph (meV per atom): 0
SG: No. 221
V (A^3/atom): 22.3

---

Q: Which formula does entry 2 have?
A: AlRu3F